(1)
## HfBiSb3 (GGA-PBEsol)

Data for a geometry-optimized HfBiSb3 structure.

```
HfBiSb3
1.0
5.4272 0.0000 0.0000
0.0000 5.4272 0.0000
0.0000 0.0000 5.4272
Sb Hf Bi
3 1 1
Cartesian
0.0000 2.7136 0.0000 Sb
0.0000 0.0000 2.7136 Sb
2.7136 0.0000 0.0000 Sb
0.0000 0.0000 0.0000 Hf
2.7136 2.7136 2.7136 Bi
```

Calculated values
formation energy without anion corrections: 0.36 eV per atom

(2)
## TiSCl6O (GGA-PBEsol)

Data for a geometry-optimized TiSCl6O structure.

```
TiSCl6O
1.0
-1.6538 1.5107 -7.4416
5.3767 -7.8996 -2.7986
-9.0229 -7.7530 4.5493
Ti S Cl O
4 4 24 4
Cartesian
-1.0802 -7.9809 -2.3270 Ti
-4.2197 -6.1610 -3.3640 Ti
-4.4410 -13.5480 -0.6513 Ti
-0.8590 -0.5939 -5.0397 Ti
1.0365 -7.8779 -8.0145 S
-0.1031 -4.9174 -0.8473 S
-5.1969 -9.2245 -4.8436 S
-6.3365 -6.2640 2.3236 S
-6.2877 -6.5552 -2.6687 Cl
-1.8476 -2.5738 -4.9062 Cl
-3.4524 -11.5681 -0.7848 Cl
0.0500 -4.1065 -7.5931 Cl
2.5031 -5.1408 -5.5496 Cl
-3.4041 -7.7007 -1.6367 Cl
-2.2488 -11.2339 -6.4702 Cl
0.9877 -7.5867 -3.0222 Cl
-7.8031 -9.0011 -0.1414 Cl
-3.8078 -4.3662 -2.1473 Cl
-4.5354 -13.7878 1.5479 Cl
-5.9034 -5.1677 0.6504 Cl
-1.4922 -9.7757 -3.5436 Cl
-1.8959 -6.4412 -4.0543 Cl
-3.0512 -2.9080 0.7793 Cl
-5.8088 -10.0580 -3.0773 Cl
-1.3139 -0.2669 -2.6511 Cl
-0.6575 -8.9805 -0.3970 Cl
-5.3500 -10.0354 1.9022 Cl
-3.9861 -13.8750 -3.0399 Cl
-0.7645 -0.3541 -7.2388 Cl
0.6034 -8.9742 -6.3413 Cl
0.5088 -4.0839 -2.6136 Cl
-4.6425 -5.1614 -5.2939 Cl
-4.3804 -8.0481 -4.5079 O
-0.9196 -6.0938 -1.1830 O
2.4867 -7.6326 -8.0087 O
-7.7867 -6.5093 2.3178 O
```

Calculated values
formation energy without anion corrections: -1.12 eV per atom

(3)
## Li2TlRu (GGA-PBEsol)

Data for a geometry-optimized Li2TlRu structure.

```
Li2TlRu
1.0
3.9965 0.0000 0.0000
0.0000 3.8970 0.0000
0.0000 0.0000 3.8970
Li Ru Tl
2 1 1
Cartesian
0.0000 0.0000 1.9485 Li
0.0000 1.9485 0.0000 Li
1.9983 1.9485 1.9485 Ru
1.9983 0.0000 0.0000 Tl
```

Calculated values
energy relative to the elements: 0.142 eV/atom

(4)
## CuC3Cl (GGA-PBEsol)

Data for a geometry-optimized CuC3Cl structure.

```
CuC3Cl
1.0
3.8839 0.0000 0.0000
0.0000 3.8839 0.0000
0.0000 0.0000 3.8839
C Cu Cl
3 1 1
Cartesian
0.0000 1.9419 0.0000 C
0.0000 0.0000 1.9419 C
1.9419 0.0000 0.0000 C
0.0000 0.0000 0.0000 Cu
1.9419 1.9419 1.9419 Cl
```

Calculated values
formation energy without anion corrections: 2.97 eV per atom

(5)
## TaBe3H (GGA-PBEsol)

Data for a geometry-optimized TaBe3H structure.

```
TaBe3H
1.0
3.5378 0.0000 0.0000
0.0000 3.5378 0.0000
0.0000 0.0000 3.5378
Be H Ta
3 1 1
Cartesian
0.0000 1.7689 0.0000 Be
0.0000 0.0000 1.7689 Be
1.7689 0.0000 0.0000 Be
0.0000 0.0000 0.0000 H
1.7689 1.7689 1.7689 Ta
```

Calculated values
total energy: -5.418 eV per atom

(6)
## YMn2Mo (GGA-PBEsol)

Data for a geometry-optimized YMn2Mo structure.

```
YMn2Mo
1.0
2.9829 0.0000 0.0000
-1.4915 4.4976 -0.1482
0.0000 -1.3601 4.7914
Mn Mo Y
2 1 1
Cartesian
1.4915 2.9440 4.1803 Mn
0.0000 1.2944 3.6156 Mn
1.4915 -0.4798 2.7909 Mo
1.4915 1.8362 1.0954 Y
```

Calculated values
energy relative to the elements: 0.450 eV/atom

(7)
## ZnAu3S (GGA-PBEsol)

Data for a geometry-optimized ZnAu3S structure.

```
ZnAu3S
1.0
4.7049 0.0000 0.0000
0.0000 4.7049 0.0000
0.0000 0.0000 4.7049
Zn Au S
1 3 1
Cartesian
0.0000 0.0000 0.0000 Zn
0.0000 2.3525 0.0000 Au
0.0000 0.0000 2.3525 Au
2.3525 0.0000 0.0000 Au
2.3525 2.3525 2.3525 S
```

Calculated values
formation energy without anion corrections: 0.86 eV per atom

(8)
## MgNi4S8 (GGA-PBEsol)

Data for a geometry-optimized MgNi4S8 structure.

```
MgNi4S8
1.0
-2.6561 -1.4392 -5.9122
3.3997 -3.6752 -4.3606
-2.1087 -6.5364 -1.1894
Mg Ni S
1 4 8
Cartesian
-0.6826 -5.8254 -5.7311 Mg
-1.3281 -0.7196 -2.9561 Ni
0.3718 -2.5572 -5.1364 Ni
1.6999 -1.8376 -2.1803 Ni
0.0000 0.0000 0.0000 Ni
0.1661 -8.2261 -5.5279 S
1.4424 -4.5226 -5.1723 S
-1.5312 -3.4247 -5.9342 S
0.1382 -5.2293 -8.0754 S
-1.1369 -8.9699 -8.4894 S
-0.2282 -2.6809 -2.9727 S
-1.5033 -6.4215 -3.3867 S
-2.8075 -7.1282 -6.2898 S
```

Calculated values
formation energy without anion corrections: -0.43 eV per atom

(9)
## GaWC3 (GGA-PBEsol)

Data for a geometry-optimized GaWC3 structure.

```
GaWC3
1.0
3.7913 0.0000 0.0000
0.0000 3.7913 0.0000
0.0000 0.0000 3.7913
C Ga W
3 1 1
Cartesian
0.0000 1.8956 0.0000 C
0.0000 0.0000 1.8956 C
1.8956 0.0000 0.0000 C
0.0000 0.0000 0.0000 Ga
1.8956 1.8956 1.8956 W
```

Calculated values
energy relative to the elements: 2.825 eV/atom

(10)
## ZrSb2TeIr (GGA-PBEsol)

Data for a geometry-optimized ZrSb2TeIr structure.

```
ZrSb2TeIr
1.0
5.2944 0.0000 0.0000
0.0000 5.3712 0.0000
0.0000 0.0000 5.3712
Sb Ir Te Zr
2 1 1 1
Cartesian
0.0000 0.0000 2.6856 Sb
0.0000 2.6856 0.0000 Sb
2.6472 2.6856 2.6856 Ir
2.6472 0.0000 0.0000 Te
0.0000 0.0000 0.0000 Zr
```

Calculated values
formation energy without anion corrections: 1.23 eV per atom

(11)
## ScCuP2 (GGA-PBEsol)

Data for a geometry-optimized ScCuP2 structure.

```
ScCuP2
1.0
-2.5750 2.2652 -1.9895
-1.0182 -1.3006 -4.1138
-4.2427 -1.2826 0.0803
Cu P Sc
1 2 1
Cartesian
-1.2875 1.1326 -0.9947 Cu
-4.7301 -1.6250 -3.6296 P
-3.1058 1.3070 -2.3934 P
-2.6305 -1.2916 -2.0168 Sc
```

Calculated values
energy relative to the elements: -0.471 eV/atom

(12)
## ScTeH3 (GGA-PBEsol)

Data for a geometry-optimized ScTeH3 structure.

```
ScTeH3
1.0
4.0109 0.0000 0.0000
0.0000 4.0109 0.0000
0.0000 0.0000 4.0109
Sc H Te
1 3 1
Cartesian
2.0055 2.0055 2.0055 Sc
0.0000 2.0055 0.0000 H
0.0000 0.0000 2.0055 H
2.0055 0.0000 0.0000 H
0.0000 0.0000 0.0000 Te
```

Calculated values
total energy: -3.373 eV per atom

(13)
## BaBeHg2 (GGA-PBEsol)

Data for a geometry-optimized BaBeHg2 structure.

```
BaBeHg2
1.0
-4.9715 1.4611 0.3907
-3.4781 -1.6617 -3.4850
-3.6226 -3.4569 1.3895
Be Hg Ba
1 2 1
Cartesian
-3.0180 -0.9144 -0.4262 Be
0.0000 0.0000 0.0000 Hg
-9.0541 -2.7431 -1.2786 Hg
-6.0361 -1.8288 -0.8524 Ba
```

Calculated values
energy relative to the elements: 0.118 eV/atom

no.,calculated volume (Å³/cell),Fermi-level density of states (states/eV/f.u.),spin magnetization (μB per formula unit)
1,159.86,4.862,0.000
2,937.14,0.000,0.000
3,60.69,2.391,0.485
4,58.59,3.729,0.203
5,44.28,0.930,0.000
6,63.68,4.933,0.011
7,104.15,3.070,0.000
8,222.24,5.630,0.002
9,54.49,3.310,0.001
10,152.74,6.197,1.278
11,61.96,2.114,0.000
12,64.52,4.160,0.202
13,99.22,2.439,0.000